1.
{
  "formula": "NaCrCo2Rh",
  "functional": "PBE",
  "state": "optimized geometry",
  "lattice_angstrom": [[-0.4685, -3.0011, 2.8090], [3.1986, -2.6154, -2.2608], [3.0004, 1.6828, 2.2983]],
  "species": ["Na", "Co", "Co", "Rh", "Cr"],
  "frac_coords": [[0.0000, 0.5000, 0.0000], [0.0000, 0.0000, 0.5000], [0.5000, 0.0000, 0.0000], [0.5000, 0.5000, 0.5000], [0.0000, 0.0000, 0.0000]],
  "magnetic_moment_mub_per_atom": 0.6491,
  "crystal_system": "tetragonal",
  "formation_enthalpy_0k_ev_per_atom": 1.441
}


2.
{
  "formula": "MnZnFe2",
  "functional": "PBE",
  "state": "optimized geometry",
  "lattice_angstrom": [[4.9807, 0.0119, 0.0407], [-2.2154, 4.1764, -0.0005], [0.5500, 0.6745, 2.2975]],
  "species": ["Fe", "Fe", "Mn", "Zn"],
  "frac_coords": [[0.0000, 0.0000, 0.0000], [0.5000, 0.0000, 0.5000], [0.0000, 0.5000, 0.5000], [0.5000, 0.5000, 0.0000]],
  "magnetic_moment_mub_per_atom": 1.4828,
  "crystal_system": "monoclinic",
  "formation_enthalpy_0k_ev_per_atom": 0.132
}


3.
{
  "formula": "Sm3Tm4Tl4",
  "functional": "PBE",
  "state": "optimized geometry",
  "lattice_angstrom": [[-1.2933, 2.7357, -2.2834], [-0.2526, -6.2939, -7.3978], [-7.6457, -0.4079, 6.9887]],
  "species": ["Sm", "Sm", "Sm", "Tm", "Tm", "Tm", "Tm", "Tl", "Tl", "Tl", "Tl"],
  "frac_coords": [[0.1030, 0.1030, 0.2059], [0.8970, 0.8970, 0.7941], [0.0000, 0.5000, 0.0000], [0.3326, 0.1301, 0.6652], [0.6674, 0.4649, 0.3348], [0.6674, 0.8699, 0.3348], [0.3326, 0.5351, 0.6652], [0.2515, 0.7515, 0.5029], [0.7485, 0.2485, 0.4971], [0.5000, 0.7797, 0.0000], [0.5000, 0.2203, 0.0000]],
  "magnetic_moment_mub_per_atom": 0.1238,
  "crystal_system": "orthorhombic",
  "formation_enthalpy_0k_ev_per_atom": -0.225
}


4.
{
  "formula": "Pm3ZnHg3",
  "functional": "PBE",
  "state": "optimized geometry",
  "lattice_angstrom": [[-1.9079, 2.9815, -3.3239], [0.5412, -2.5628, -2.6094], [-8.6027, -4.0707, 4.8332]],
  "species": ["Pm", "Pm", "Pm", "Zn", "Hg", "Hg", "Hg"],
  "frac_coords": [[0.3092, 0.8092, 0.6183], [0.6936, 0.1936, 0.3872], [0.9971, 0.9971, 0.9942], [0.4323, 0.4323, 0.8645], [0.1475, 0.6475, 0.2950], [0.8585, 0.3585, 0.7171], [0.5619, 0.5619, 0.1237]],
  "magnetic_moment_mub_per_atom": 0.0001,
  "crystal_system": "orthorhombic",
  "formation_enthalpy_0k_ev_per_atom": -0.402
}


5.
{
  "formula": "BeSiAg4",
  "functional": "PBE",
  "state": "optimized geometry",
  "lattice_angstrom": [[2.0501, -4.4639, -2.2185], [3.4262, -3.0740, 2.8040], [-1.5569, -4.8477, 1.7681]],
  "species": ["Be", "Si", "Ag", "Ag", "Ag", "Ag"],
  "frac_coords": [[0.7500, 0.7500, 0.7500], [0.0000, 0.0000, 0.0000], [0.8743, 0.3752, 0.3752], [0.3752, 0.3752, 0.8743], [0.3752, 0.8743, 0.3752], [0.3752, 0.3752, 0.3752]],
  "magnetic_moment_mub_per_atom": 0.0000,
  "raw_formation_energy_kj_per_mol_atoms": 62,
  "crystal_system": "cubic"
}


6.
{
  "formula": "Ba7Cd2Au2",
  "functional": "PBE",
  "state": "optimized geometry",
  "lattice_angstrom": [[-5.0486, -6.0908, 0.8277], [0.1185, -1.2183, -8.2462], [7.4231, -2.8101, 0.5214]],
  "species": ["Ba", "Ba", "Ba", "Ba", "Ba", "Ba", "Ba", "Cd", "Cd", "Au", "Au"],
  "frac_coords": [[0.9998, 0.2634, 0.5003], [0.5003, 0.7366, 0.9998], [0.0002, 0.7366, 0.4997], [0.4997, 0.2634, 0.0002], [0.0000, 0.0000, 0.0000], [0.5002, 0.7487, 0.4998], [0.4998, 0.2513, 0.5002], [0.8382, 0.5000, 0.8382], [0.1618, 0.5000, 0.1618], [0.7092, 0.0000, 0.2908], [0.2908, 0.0000, 0.7092]],
  "magnetic_moment_mub_per_atom": 0.0000,
  "crystal_system": "orthorhombic",
  "formation_enthalpy_0k_ev_per_atom": -0.312
}


7.
{
  "formula": "HoMgAlNi",
  "functional": "PBE",
  "state": "optimized geometry",
  "lattice_angstrom": [[-1.9249, -1.7932, 3.8328], [1.1963, -4.2594, 1.4273], [2.5490, -0.5304, 3.8513]],
  "species": ["Ni", "Mg", "Ho", "Al"],
  "frac_coords": [[0.0000, 0.0000, 0.0000], [0.5000, 0.5000, 0.5000], [0.7500, 0.7500, 0.7500], [0.2500, 0.2500, 0.2500]],
  "magnetic_moment_mub_per_atom": 0.0000,
  "crystal_system": "cubic",
  "formation_enthalpy_0k_ev_per_atom": -0.277
}


8.
{
  "formula": "Tb2ScTa",
  "functional": "PBE",
  "state": "optimized geometry",
  "lattice_angstrom": [[-1.0716, 1.5916, -2.5737], [-2.8373, -0.7637, -1.2930], [-6.4448, 7.8374, 5.5279]],
  "species": ["Sc", "Tb", "Tb", "Ta"],
  "frac_coords": [[0.5000, 0.5000, 0.5000], [0.0864, 0.0864, 0.7409], [0.9136, 0.9136, 0.2591], [0.0000, 0.0000, 0.0000]],
  "magnetic_moment_mub_per_atom": 0.0001,
  "crystal_system": "trigonal",
  "formation_enthalpy_0k_ev_per_atom": 0.562
}


9.
{
  "formula": "CaMg3Hg4",
  "functional": "PBE",
  "state": "optimized geometry",
  "lattice_angstrom": [[4.8807, 0.0000, 0.0000], [0.0000, 7.6492, 0.0000], [0.0000, 0.0000, 9.7631]],
  "species": ["Ca", "Ca", "Mg", "Mg", "Mg", "Mg", "Mg", "Mg", "Hg", "Hg", "Hg", "Hg", "Hg", "Hg", "Hg", "Hg"],
  "frac_coords": [[0.0000, 0.5000, 0.0000], [0.0000, 0.5000, 0.5000], [0.0000, 0.0000, 0.0000], [0.0000, 0.0000, 0.5000], [0.5005, 0.0000, 0.7500], [0.4995, 0.0000, 0.2500], [0.5002, 0.5000, 0.7500], [0.4998, 0.5000, 0.2500], [0.5000, 0.7621, 0.0000], [0.5000, 0.7621, 0.5000], [0.5000, 0.2379, 0.0000], [0.5000, 0.2379, 0.5000], [0.0005, 0.7622, 0.7500], [0.9995, 0.7622, 0.2500], [0.9995, 0.2378, 0.2500], [0.0005, 0.2378, 0.7500]],
  "magnetic_moment_mub_per_atom": 0.0000,
  "crystal_system": "tetragonal",
  "formation_enthalpy_0k_ev_per_atom": -0.317
}


10.
{
  "formula": "ZrTc2Ru2",
  "functional": "PBE",
  "state": "optimized geometry",
  "lattice_angstrom": [[-0.2780, -0.7719, 3.8779], [3.9168, 0.4778, 0.3759], [1.0695, 5.2050, 3.1384]],
  "species": ["Ru", "Ru", "Tc", "Tc", "Zr"],
  "frac_coords": [[0.3935, 0.3935, 0.2131], [0.6065, 0.6065, 0.7869], [0.7500, 0.2500, 0.5000], [0.2500, 0.7500, 0.5000], [0.0000, 0.0000, 0.0000]],
  "magnetic_moment_mub_per_atom": 0.0000,
  "crystal_system": "tetragonal",
  "e_above_lowest_polymorph_ev_per_atom": 0.134,
  "formation_enthalpy_0k_ev_per_atom": 0.092
}


Number 1: volume 16.123 Å³ per atom. Number 2: volume 11.925 Å³ per atom. Number 3: volume 30.000 Å³ per atom. Number 4: volume 26.233 Å³ per atom. Number 5: volume 18.453 Å³ per atom. Number 6: volume 45.511 Å³ per atom. Number 7: volume 17.760 Å³ per atom. Number 8: volume 25.448 Å³ per atom. Number 9: volume 22.781 Å³ per atom. Number 10: volume 17.276 Å³ per atom.